(1)
Below is a geometry-optimized Rb2NaGd structure, with properties calculated at the PBE level.

Calculated values
Calculated total energy in eV/atom: -3.9253
Magnetic moment in μB/cell: 8.3

Lattice parameters (Å, degrees): 4.006 4.006 15.328 82.49 82.49 60.00
Atoms (fractional coordinates):
Na1 0.500 0.500 0.500
Gd1 0.000 0.000 0.000
Rb1 0.086 0.086 0.741
Rb2 0.914 0.914 0.259

(2)
Below is a geometry-optimized CaScTl structure, with properties calculated at the PBE level.

Calculated values
Magnetic moment in μB/cell: 0.0
ΔE to the lowest computed polymorph in meV per atom: 57

Lattice parameters (Å, degrees): 3.767 8.704 5.257 72.67 90.00 89.98
Atoms (fractional coordinates):
Sc1 0.174 0.241 0.502
Sc2 0.674 0.241 0.002
Ca1 0.674 0.597 0.322
Ca2 0.674 0.885 0.681
Tl1 0.174 0.960 0.144
Tl2 0.174 0.523 0.859